Compound: SrCr2Re
Source: the Alexandria database
Functional: PBE
Structure: optimized geometry

Unit cell a=4.7489 b=4.7489 c=5.9303 alpha=103.90 beta=103.90 gamma=38.36
Last column: nearest neighbours and their distance in Å.
Fractional coordinates of all 4 atoms:
Sr 0.0000 0.0000 0.0000  2 Sr 3.12, 7 Cr 3.24-3.38, 3 Re 3.30-3.37
Cr 0.2048 0.2048 0.6227  2 Cr 2.33, 2 Re 2.36
Cr 0.5071 0.5071 0.5023  2 Cr 2.33, 2 Re 2.46
Re 0.7897 0.7897 0.3835  4 Cr 2.36-2.46

## Properties
Polymorph energy (0 for the lowest one) ... 0.148 eV per atom
M_tot ... 0.001 μB/atom
E ... -7.53 eV per atom
Calculated volume ... 20.07 A^3/atom

Compound: LaCu2F6
Source: the Alexandria database
Functional: PBE
Structure: optimized geometry

Unit cell a=5.9471 b=5.9471 c=7.5130 alpha=124.24 beta=124.24 gamma=40.40
Last column: nearest neighbours and their distance in Å.
Fractional coordinates of all 9 atoms:
La 0.0000 0.0000 0.0000  8 F 2.35-2.53
Cu 0.1786 0.1786 0.6242  4 F 1.97-2.11
Cu 0.8214 0.8214 0.3758  4 F 1.97-2.11
F 0.0006 0.0006 0.6880  1 Cu 1.97
F 0.2694 0.2694 0.3449  2 Cu 2.11
F 0.3615 0.3615 0.9401  1 Cu 2.00
F 0.6385 0.6385 0.0599  1 Cu 2.00
F 0.7306 0.7306 0.6551  2 Cu 2.11
F 0.9994 0.9994 0.3120  1 Cu 1.97

## Properties
M_tot ... 0.111 μB/atom
E ... -5.27 eV per atom
Calculated volume ... 15.31 A^3/atom
Raw formation energy ... -2.560 eV per atom

Compound: RbHfIn2F8
Source: the Alexandria database
Functional: PBE
Structure: optimized geometry

Unit cell a=5.3719 b=5.9091 c=7.1576 alpha=91.90 beta=92.38 gamma=92.51
Last column: nearest neighbours and their distance in Å.
Fractional coordinates of all 12 atoms:
Rb 0.0000 0.0000 0.0000  8 F 2.80-2.95
Hf 0.0000 0.0000 0.5000  6 F 1.99-2.03
In 0.4861 0.5142 0.7350  4 F 2.24-2.44
In 0.5139 0.4858 0.2650  4 F 2.24-2.44
F 0.1423 0.2413 0.6888  1 Hf 2.03
F 0.1433 0.7567 0.6568  1 Hf 2.01
F 0.2988 0.0310 0.3461  1 Hf 1.99
F 0.4122 0.6948 0.0054  2 In 2.24-2.32
F 0.5878 0.3052 0.9946  2 In 2.24-2.32
F 0.7012 0.9690 0.6539  1 Hf 1.99
F 0.8567 0.2433 0.3432  1 Hf 2.01
F 0.8577 0.7587 0.3112  1 Hf 2.03

## Properties
M_tot ... 0.000 μB/atom
E ... -5.48 eV per atom
Calculated volume ... 18.89 A^3/atom
Raw formation energy ... -2.864 eV per atom

Q: Look up the calculated volume of the second one.
A: 15.31 A^3/atom

Q: Among the records above, which one has the highest E?
A: LaCu2F6